[1]
Material: CrCoNi3
Method: DFT, PBE
State: optimized geometry

Geometry as POSCAR:
```
CrCoNi3
1.0
4.0228 0.0000 0.0000
0.0000 4.2950 -0.4623
0.0000 -1.4460 6.4842
Cr Co Ni
2 2 6
direct
0.2500 0.8687 0.3970
0.7500 0.1313 0.6030
0.2500 0.2678 0.2032
0.7500 0.7322 0.7968
0.7500 0.5258 0.4021
0.2500 0.4742 0.5979
0.7500 0.3331 0.0026
0.2500 0.0701 0.8036
0.2500 0.6669 0.9974
0.7500 0.9299 0.1964
```

Properties
The energy above the most stable polymorph in this dataset is 0.000 eV per atom. The calculation puts the formation energy from the elements at 0.038 eV/atom. The space group is P2_1/m.

=====

[2]
Material: CrCo2Ni
Method: DFT, PBE
State: optimized geometry

Geometry as POSCAR:
```
CrCo2Ni
1.0
3.8572 0.0000 -2.7848
0.0000 2.3780 0.0000
-1.5140 0.0000 6.0353
Cr Co Ni
1 2 1
direct
0.0000 0.0000 0.0000
0.7583 0.0000 0.5006
0.2417 0.0000 0.4994
0.5000 0.5000 0.0000
```

Properties
The calculation puts the formation energy from the elements at 0.300 eV/atom. The space group is Pmmm.

=====

[3]
Material: Cr2CoNi2
Method: DFT, PBE
State: optimized geometry

Geometry as POSCAR:
```
Cr2CoNi2
1.0
-0.1288 -1.8181 -3.1678
4.6968 -1.1225 0.4532
-4.7174 -3.5719 4.3501
Cr Co Ni
4 2 4
direct
0.6994 0.0234 0.3988
0.6994 0.5234 0.3988
0.3006 0.9766 0.6012
0.3006 0.4766 0.6012
0.5000 0.7500 0.0000
0.5000 0.2500 0.0000
0.0973 0.1351 0.1947
0.9027 0.3649 0.8053
0.9027 0.8649 0.8053
0.0973 0.6351 0.1947
```

Properties
The energy above the most stable polymorph in this dataset is 0.000 eV per atom. The calculation puts the formation energy from the elements at 0.097 eV/atom. The space group is C2/m.

=====

[4]
Material: CrCo3Ni3
Method: DFT, PBE
State: optimized geometry

Geometry as POSCAR:
```
CrCo3Ni3
1.0
-2.2868 -6.3420 1.2140
1.8661 0.5838 6.5652
-6.1816 2.5224 1.5328
Cr Co Ni
4 12 12
direct
0.1020 0.6020 0.8980
0.8980 0.1020 0.6020
0.3980 0.3980 0.3980
0.6020 0.8980 0.1020
0.8050 0.6135 0.0708
0.8865 0.9292 0.3050
0.0708 0.8050 0.6135
0.1135 0.4292 0.1950
0.1950 0.1135 0.4292
0.3050 0.8865 0.9292
0.9292 0.3050 0.8865
0.3865 0.5708 0.6950
0.4292 0.1950 0.1135
0.6135 0.0708 0.8050
0.6950 0.3865 0.5708
0.5708 0.6950 0.3865
0.7830 0.2830 0.2170
0.9157 0.9157 0.9157
0.8955 0.6045 0.3955
0.2170 0.7830 0.2830
0.1045 0.1045 0.1045
0.3955 0.8955 0.6045
0.0843 0.4157 0.5843
0.2830 0.2170 0.7830
0.6045 0.3955 0.8955
0.7170 0.7170 0.7170
0.5843 0.0843 0.4157
0.4157 0.5843 0.0843
```

Properties
The calculation puts the formation energy from the elements at 0.273 eV/atom. The space group is P2_13.

=====

[5]
Material: CrCoNi
Method: DFT, PBE
State: optimized geometry

Geometry as POSCAR:
```
CrCoNi
1.0
-1.1100 -0.5078 2.1760
0.8205 -1.8895 1.4095
1.7937 4.3554 4.7941
Cr Co Ni
1 1 1
direct
0.8357 0.4337 0.2690
0.9325 0.8852 0.9473
0.0601 0.3219 0.6023
```

Properties
The energy above the most stable polymorph in this dataset is 0.069 eV per atom. The calculation puts the formation energy from the elements at 0.083 eV/atom. The space group is R3m.

=====

[6]
Material: CrCo2Ni
Method: DFT, PBE
State: optimized geometry

Geometry as POSCAR:
```
CrCo2Ni
1.0
-7.7237 2.1707 -2.3671
-8.2439 1.4161 -0.0608
-7.4683 3.7393 -0.4611
Co Cr Ni
2 1 1
direct
0.9992 0.9992 0.9992
0.2506 0.2506 0.2506
0.5004 0.5004 0.5004
0.7497 0.7497 0.7497
```

Properties
The calculation puts the formation energy from the elements at 0.076 eV/atom. The space group is R3m.

=====

[7]
Material: CrCoNi
Method: DFT, PBE
State: optimized geometry

Geometry as POSCAR:
```
CrCoNi
1.0
5.6330 0.0201 -0.0209
5.0844 2.4246 -0.0010
0.5486 0.1048 2.4023
Ni Co Cr
1 1 1
direct
0.3334 0.3334 0.6666
0.0026 0.0026 0.9974
0.6641 0.6641 0.3359
```

Properties
The energy above the most stable polymorph in this dataset is 0.033 eV per atom. The calculation puts the formation energy from the elements at 0.047 eV/atom. The space group is I4mm.

=====

[8]
Material: CrCo5Ni6
Method: DFT, PBE
State: optimized geometry

Geometry as POSCAR:
```
CrCo5Ni6
1.0
-1.6951 -2.9033 -0.8888
5.5938 -2.0518 2.8359
-3.5541 2.6636 4.8801
Cr Co Ni
1 5 6
direct
0.0000 0.0000 0.0000
0.5000 0.1663 0.8337
0.0000 0.3341 0.6659
0.5000 0.5000 0.5000
0.0000 0.6659 0.3341
0.5000 0.8337 0.1663
0.2503 0.0829 0.4176
0.7497 0.5824 0.9171
0.7500 0.2501 0.2501
0.2500 0.7499 0.7499
0.2503 0.4176 0.0829
0.7497 0.9171 0.5824
```

Properties
The calculation puts the formation energy from the elements at 0.029 eV/atom. The space group is Immm.

=====

no.,final energy (hartree per atom)
1,-0.2490
2,-0.2611
3,-0.2751
4,-0.2435
5,-0.2727
6,-0.2693
7,-0.2740
8,-0.2434